[1]
# YScOs4 | Alexandria via LeMat-Bulk | GGA-PBE | relaxed
# total magnetization: 0.00 μB per cell
data_YScOs4
_space_group_name_H-M_alt 'F -4 3 m'
_space_group_IT_number 216
_space_group_name_Hall 'F -4 2 3'
_cell_length_a 7.489
_cell_length_b 7.489
_cell_length_c 7.489
_cell_angle_alpha 90.00
_cell_angle_beta 90.00
_cell_angle_gamma 90.00
loop_
_atom_site_label
_atom_site_fract_x
_atom_site_fract_y
_atom_site_fract_z
Y1 0.000 0.000 0.000
Sc1 0.250 0.250 0.250
Os1 0.125 0.125 0.625

[2]
# AcPm2Nd2Dy2 | Alexandria via LeMat-Bulk | GGA-PBE | relaxed
# total magnetization: 0.00 μB per cell
data_AcPm2Nd2Dy2
_space_group_name_H-M_alt 'C 1 2/m 1'
_space_group_IT_number 12
_cell_length_a 11.616
_cell_length_b 5.212
_cell_length_c 8.225
_cell_angle_alpha 90.00
_cell_angle_beta 98.19
_cell_angle_gamma 90.00
loop_
_space_group_symop_operation_xyz
'x,y,z'
'-x,-y,-z'
'-x,y,-z'
'x,-y,z'
'x+1/2,y+1/2,z'
'-x+1/2,-y+1/2,-z'
'-x+1/2,y+1/2,-z'
'x+1/2,-y+1/2,z'
loop_
_atom_site_label
_atom_site_fract_x
_atom_site_fract_y
_atom_site_fract_z
Ac1 0.000 0.000 0.000
Pm1 0.214 0.500 0.151
Nd1 0.074 0.500 0.709
Dy1 0.143 0.000 0.434

Formation energy values, unit meV/atom, following the record order: -277; 32.